Entry 1:
DFT (PBE) results for an optimized crystal structure of Pm4PrTl4.

a = 6.237 Å, b = 9.425 Å, c = 9.425 Å
α = 90.00°, β = 90.00°, γ = 90.00°
Sites, in units of the cell vectors:
Tl  0.109  0.710  0.604
Tl  0.891  0.604  0.290
Tl  0.391  0.790  0.896
Tl  0.609  0.104  0.790
Tl  0.609  0.896  0.210
Tl  0.109  0.290  0.396
Tl  0.891  0.396  0.710
Tl  0.391  0.210  0.104
Pr  0.000  0.000  0.000
Pr  0.500  0.500  0.500
Pm  0.877  0.334  0.076
Pm  0.123  0.076  0.666
Pm  0.623  0.834  0.576
Pm  0.623  0.166  0.424
Pm  0.377  0.424  0.834
Pm  0.377  0.576  0.166
Pm  0.877  0.666  0.924
Pm  0.123  0.924  0.334

* energy relative to the elements: -0.196 eV/atom
* total magnetization: 0.00 μB/cell

---

Entry 2:
DFT (PBE) results for an optimized crystal structure of PmPr4Tl.

a = 6.713 Å, b = 9.001 Å, c = 6.926 Å
α = 90.00°, β = 90.00°, γ = 100.84°
Sites, in units of the cell vectors:
Pr  0.918  0.176  0.503
Pr  0.082  0.824  0.497
Pr  0.321  0.562  0.750
Pr  0.082  0.824  0.003
Pr  0.421  0.168  0.750
Pr  0.918  0.176  0.997
Pr  0.579  0.832  0.250
Pr  0.679  0.438  0.250
Pm  0.804  0.508  0.750
Pm  0.196  0.492  0.250
Tl  0.348  0.130  0.250
Tl  0.652  0.870  0.750

* energy relative to the elements: -0.061 eV/atom
* total magnetization: 0.00 μB/cell

---

Entry 3:
DFT (PBE) results for an optimized crystal structure of Pm3Pr5Tl3.

a = 3.535 Å, b = 11.186 Å, c = 11.186 Å
α = 120.00°, β = 90.00°, γ = 90.00°
Sites, in units of the cell vectors:
Tl  0.000  0.841  0.841
Tl  0.000  0.159  0.000
Tl  0.000  0.000  0.159
Pm  0.500  0.000  0.393
Pm  0.500  0.393  0.000
Pm  0.500  0.607  0.607
Pr  0.500  0.333  0.667
Pr  0.500  0.000  0.701
Pr  0.500  0.701  0.000
Pr  0.500  0.667  0.333
Pr  0.500  0.299  0.299

* energy relative to the elements: 0.142 eV/atom
* total magnetization: 0.00 μB/cell

---

Entry 4:
DFT (PBE) results for an optimized crystal structure of PmPr8Tl6.

a = 9.414 Å, b = 9.414 Å, c = 8.621 Å
α = 56.91°, β = 56.91°, γ = 60.00°
Sites, in units of the cell vectors:
Tl  0.613  0.944  0.170
Tl  0.273  0.613  0.170
Tl  0.056  0.727  0.830
Tl  0.387  0.056  0.830
Tl  0.727  0.387  0.830
Tl  0.944  0.273  0.170
Pr  0.334  0.334  0.998
Pr  0.887  0.552  0.340
Pr  0.552  0.221  0.340
Pr  0.779  0.113  0.660
Pr  0.448  0.779  0.660
Pr  0.113  0.448  0.660
Pr  0.221  0.887  0.340
Pr  0.666  0.666  0.002
Pm  0.000  0.000  0.000

* energy relative to the elements: -0.176 eV/atom
* total magnetization: 0.00 μB/cell

---

Entry 5:
DFT (PBE) results for an optimized crystal structure of Pm4Pr9Tl11.

a = 3.662 Å, b = 14.222 Å, c = 14.222 Å
α = 100.16°, β = 90.00°, γ = 90.00°
Sites, in units of the cell vectors:
Pm  0.500  0.737  0.568
Pm  0.500  0.432  0.263
Pm  0.500  0.568  0.737
Pm  0.500  0.263  0.432
Tl  0.000  0.827  0.173
Tl  0.000  0.000  0.000
Tl  0.000  0.637  0.363
Tl  0.000  0.584  0.933
Tl  0.000  0.933  0.584
Tl  0.000  0.173  0.827
Tl  0.000  0.067  0.416
Tl  0.000  0.765  0.765
Tl  0.000  0.416  0.067
Tl  0.000  0.363  0.637
Tl  0.000  0.235  0.235
Pr  0.500  0.207  0.031
Pr  0.500  0.378  0.858
Pr  0.500  0.142  0.622
Pr  0.500  0.622  0.142
Pr  0.500  0.793  0.969
Pr  0.500  0.031  0.207
Pr  0.500  0.858  0.378
Pr  0.500  0.969  0.793
Pr  0.500  0.500  0.500

* energy relative to the elements: -0.318 eV/atom
* total magnetization: 0.00 μB/cell

---

Entry 6:
DFT (PBE) results for an optimized crystal structure of Pm6Pr12Tl.

a = 8.766 Å, b = 8.766 Å, c = 8.766 Å
α = 88.57°, β = 88.57°, γ = 88.57°
Sites, in units of the cell vectors:
Pm  0.258  0.098  0.709
Pm  0.291  0.742  0.902
Pm  0.742  0.902  0.291
Pm  0.902  0.291  0.742
Pm  0.709  0.258  0.098
Pm  0.098  0.709  0.258
Pr  0.569  0.216  0.464
Pr  0.431  0.784  0.536
Pr  0.180  0.363  0.017
Pr  0.820  0.637  0.983
Pr  0.464  0.569  0.216
Pr  0.017  0.180  0.363
Pr  0.784  0.536  0.431
Pr  0.216  0.464  0.569
Pr  0.363  0.017  0.180
Pr  0.983  0.820  0.637
Pr  0.536  0.431  0.784
Pr  0.637  0.983  0.820
Tl  0.000  0.000  0.000

* energy relative to the elements: 0.067 eV/atom
* total magnetization: 0.00 μB/cell

---

Entry 7:
DFT (PBE) results for an optimized crystal structure of Pm3Pr2Tl2.

a = 5.588 Å, b = 5.584 Å, c = 8.915 Å
α = 108.30°, β = 90.00°, γ = 120.03°
Sites, in units of the cell vectors:
Pm  0.654  0.308  0.462
Pm  0.500  0.000  0.000
Pm  0.346  0.692  0.538
Pr  0.922  0.845  0.267
Pr  0.078  0.155  0.733
Tl  0.217  0.434  0.151
Tl  0.783  0.566  0.849

* energy relative to the elements: -0.207 eV/atom
* total magnetization: 0.00 μB/cell

---

Entry 8:
DFT (PBE) results for an optimized crystal structure of Pm4Pr4Tl.

a = 5.033 Å, b = 8.182 Å, c = 8.182 Å
α = 84.56°, β = 72.07°, γ = 72.07°
Sites, in units of the cell vectors:
Tl  0.000  0.000  0.000
Pm  0.000  0.335  0.665
Pm  0.665  0.335  0.335
Pm  0.000  0.665  0.335
Pm  0.335  0.665  0.665
Pr  0.339  0.000  0.322
Pr  0.661  0.678  0.000
Pr  0.339  0.322  0.000
Pr  0.661  0.000  0.678

* energy relative to the elements: -0.042 eV/atom
* total magnetization: 0.00 μB/cell

---

Entry 9:
DFT (PBE) results for an optimized crystal structure of PmPr5Tl6.

a = 5.566 Å, b = 7.802 Å, c = 8.819 Å
α = 90.00°, β = 71.36°, γ = 89.99°
Sites, in units of the cell vectors:
Pr  0.332  0.500  0.336
Pr  0.667  0.000  0.667
Pr  0.668  0.500  0.664
Pr  0.333  0.000  0.333
Pr  0.000  0.500  0.000
Tl  0.500  0.248  0.000
Tl  0.165  0.248  0.669
Tl  0.835  0.752  0.331
Tl  0.500  0.752  0.000
Tl  0.835  0.248  0.331
Tl  0.165  0.752  0.669
Pm  0.000  0.000  0.000

* energy relative to the elements: -0.393 eV/atom
* total magnetization: 0.00 μB/cell

---

Entry 10:
DFT (PBE) results for an optimized crystal structure of Pm5PrTl4.

a = 3.645 Å, b = 3.645 Å, c = 22.799 Å
α = 90.00°, β = 90.00°, γ = 90.00°
Sites, in units of the cell vectors:
Pm  0.500  0.500  0.308
Pm  0.500  0.500  0.500
Pm  0.500  0.500  0.884
Pm  0.500  0.500  0.692
Pm  0.500  0.500  0.116
Tl  0.000  0.000  0.596
Tl  0.000  0.000  0.211
Tl  0.000  0.000  0.789
Tl  0.000  0.000  0.404
Pr  0.000  0.000  0.000

* energy relative to the elements: -0.300 eV/atom
* total magnetization: 0.00 μB/cell

---

Entry 11:
DFT (PBE) results for an optimized crystal structure of Pm3Pr7Tl2.

a = 3.710 Å, b = 5.840 Å, c = 19.531 Å
α = 103.57°, β = 90.00°, γ = 90.00°
Sites, in units of the cell vectors:
Tl  0.500  0.595  0.297
Tl  0.500  0.405  0.703
Pm  0.500  0.500  0.000
Pm  0.000  0.859  0.642
Pm  0.000  0.141  0.358
Pr  0.500  0.277  0.535
Pr  0.500  0.996  0.171
Pr  0.000  0.000  0.000
Pr  0.000  0.518  0.847
Pr  0.000  0.482  0.153
Pr  0.500  0.004  0.829
Pr  0.500  0.723  0.465

* energy relative to the elements: -0.021 eV/atom
* total magnetization: 0.00 μB/cell

---

Entry 12:
DFT (PBE) results for an optimized crystal structure of PmPr2Tl.

a = 5.657 Å, b = 5.657 Å, c = 5.657 Å
α = 60.00°, β = 60.00°, γ = 60.00°
Each line ends with the local moment (μB).
Sites, in units of the cell vectors:
Pr  0.250  0.250  0.250  0.20
Pr  0.750  0.750  0.750  0.20
Tl  0.000  0.000  0.000  0.00
Pm  0.500  0.500  0.500  0.34

* energy relative to the elements: -0.061 eV/atom
* total magnetization: 1.38 μB/cell

---

Entry 13:
DFT (PBE) results for an optimized crystal structure of Pm6Pr5Tl.

a = 5.104 Å, b = 9.646 Å, c = 9.646 Å
α = 106.79°, β = 105.31°, γ = 105.31°
Sites, in units of the cell vectors:
Tl  0.000  0.000  0.000
Pr  0.000  0.337  0.663
Pr  0.500  0.832  0.168
Pr  0.000  0.663  0.337
Pr  0.500  0.168  0.832
Pr  0.500  0.500  0.500
Pm  0.756  0.920  0.592
Pm  0.256  0.756  0.756
Pm  0.756  0.592  0.920
Pm  0.244  0.408  0.080
Pm  0.244  0.080  0.408
Pm  0.744  0.244  0.244

* energy relative to the elements: -0.036 eV/atom
* total magnetization: 0.00 μB/cell

---

Entry 14:
DFT (PBE) results for an optimized crystal structure of Pm2PrTl.

a = 3.712 Å, b = 3.712 Å, c = 9.398 Å
α = 90.00°, β = 90.00°, γ = 90.00°
Sites, in units of the cell vectors:
Pm  0.000  0.000  0.224
Pm  0.000  0.000  0.776
Tl  0.500  0.500  0.000
Pr  0.500  0.500  0.500

* energy relative to the elements: -0.175 eV/atom
* total magnetization: 0.00 μB/cell

---

Entry 15:
DFT (PBE) results for an optimized crystal structure of PmPr6Tl.

a = 6.612 Å, b = 6.645 Å, c = 9.382 Å
α = 69.25°, β = 69.52°, γ = 59.94°
Sites, in units of the cell vectors:
Pr  0.186  0.963  0.287
Pr  0.429  0.814  0.713
Pr  0.959  0.572  0.289
Pr  0.571  0.186  0.287
Pr  0.041  0.428  0.711
Pr  0.814  0.037  0.713
Tl  0.000  0.000  0.000
Pm  0.500  0.500  0.500

* energy relative to the elements: 0.371 eV/atom
* total magnetization: 0.00 μB/cell

---

Entry 16:
DFT (PBE) results for an optimized crystal structure of PmPr3Tl.

a = 7.168 Å, b = 9.096 Å, c = 11.879 Å
α = 119.75°, β = 90.00°, γ = 90.00°
Sites, in units of the cell vectors:
Pr  0.755  0.191  0.103
Pr  0.752  0.508  0.998
Pr  0.493  0.410  0.700
Pr  0.993  0.090  0.800
Pr  0.745  0.691  0.603
Pr  0.255  0.309  0.397
Pr  0.748  0.008  0.498
Pr  0.252  0.992  0.502
Pr  0.007  0.910  0.200
Pr  0.507  0.590  0.300
Pr  0.248  0.492  0.002
Pr  0.245  0.809  0.897
Tl  0.752  0.295  0.402
Tl  0.252  0.205  0.098
Tl  0.248  0.705  0.598
Tl  0.748  0.795  0.902
Pm  0.501  0.088  0.808
Pm  0.001  0.412  0.692
Pm  0.499  0.912  0.192
Pm  0.999  0.588  0.308

* energy relative to the elements: -0.134 eV/atom
* total magnetization: 0.00 μB/cell

---

Entry 17:
DFT (PBE) results for an optimized crystal structure of PmPr8Tl2.

a = 5.981 Å, b = 9.054 Å, c = 9.054 Å
α = 119.59°, β = 102.62°, γ = 102.62°
Sites, in units of the cell vectors:
Pr  0.884  0.908  0.680
Pr  0.884  0.680  0.908
Pr  0.116  0.320  0.092
Pr  0.500  0.221  0.779
Pr  0.704  0.404  0.404
Pr  0.500  0.779  0.221
Pr  0.116  0.092  0.320
Pr  0.296  0.596  0.596
Tl  0.000  0.305  0.695
Tl  0.000  0.695  0.305
Pm  0.500  0.000  0.000

* energy relative to the elements: -0.038 eV/atom
* total magnetization: 0.00 μB/cell

---

Entry 18:
DFT (PBE) results for an optimized crystal structure of Pm5PrTl2.

a = 4.985 Å, b = 7.032 Å, c = 14.050 Å
α = 90.00°, β = 90.00°, γ = 90.00°
Sites, in units of the cell vectors:
Pm  0.000  0.502  0.750
Pm  0.500  0.250  0.374
Pm  0.000  0.500  0.500
Pm  0.500  0.750  0.626
Pm  0.500  0.250  0.874
Pm  0.500  0.750  0.126
Pm  0.000  0.998  0.250
Pm  0.000  0.498  0.250
Pm  0.000  0.000  0.000
Pm  0.000  0.002  0.750
Pr  0.000  0.500  0.000
Pr  0.000  0.000  0.500
Tl  0.500  0.747  0.374
Tl  0.500  0.247  0.126
Tl  0.500  0.753  0.874
Tl  0.500  0.253  0.626

* energy relative to the elements: -0.205 eV/atom
* total magnetization: 0.00 μB/cell

---

Entry 19:
DFT (PBE) results for an optimized crystal structure of PmPr6Tl5.

a = 10.585 Å, b = 6.571 Å, c = 6.594 Å
α = 60.11°, β = 84.42°, γ = 78.75°
Sites, in units of the cell vectors:
Pr  0.766  0.711  0.000
Pr  0.266  0.907  0.637
Pr  0.734  0.456  0.637
Pr  0.266  0.544  0.363
Pr  0.734  0.093  0.363
Pr  0.234  0.289  0.000
Tl  0.000  0.308  0.385
Tl  0.500  0.858  0.284
Tl  0.500  0.142  0.716
Tl  0.000  0.692  0.615
Tl  0.500  0.500  0.000
Pm  0.000  0.000  0.000

* energy relative to the elements: -0.174 eV/atom
* total magnetization: 0.00 μB/cell

---

Entry 20:
DFT (PBE) results for an optimized crystal structure of PmPr6Tl6.

a = 6.559 Å, b = 6.559 Å, c = 11.122 Å
α = 90.00°, β = 90.00°, γ = 120.00°
Each line ends with the local moment (μB).
Sites, in units of the cell vectors:
Pr  0.333  0.667  0.500  0.14
Pr  0.667  0.333  0.000  0.03
Pr  0.000  0.000  0.333  0.24
Pr  0.667  0.333  0.500  0.14
Pr  0.333  0.667  0.000  0.03
Pr  0.000  0.000  0.667  0.24
Tl  0.000  0.500  0.754  0.00
Tl  0.500  0.000  0.246  0.00
Tl  0.500  0.500  0.754  0.00
Tl  0.500  0.500  0.246  0.00
Tl  0.500  0.000  0.754  0.00
Tl  0.000  0.500  0.246  0.00
Pm  0.000  0.000  0.000  0.09

* energy relative to the elements: -0.233 eV/atom
* total magnetization: 2.29 μB/cell